Run one
Crystalline Li4SbRh at its relaxed geometry. Source: Alexandria via LeMat-Bulk, functional PBE.

Values from the calculation:
Its spin magnetization is 0.000 μB/atom.

Structure (POSCAR):
```
Li4SbRh
1.0
-2.3531 3.5628 1.3621
-3.5576 -0.8922 -3.7986
-5.8228 -4.9713 2.9510
Sb Li Rh
2 8 2
direct
0.7500 0.3730 0.2539
0.2500 0.6270 0.7461
0.7499 0.2762 0.9174
0.2500 0.0370 0.4152
0.7500 0.4522 0.5848
0.2499 0.1936 0.0826
0.2501 0.7238 0.0826
0.7501 0.8064 0.9174
0.2500 0.5478 0.4152
0.7500 0.9630 0.5848
0.7500 0.8791 0.2419
0.2500 0.1209 0.7581
```

Run two
Crystalline Li4SbRh at its relaxed geometry. Source: Alexandria via LeMat-Bulk, functional PBE.

Values from the calculation:
Its spin magnetization is 0.015 μB/atom.

Structure (POSCAR):
```
Li4SbRh
1.0
-2.6311 -3.8078 -1.6302
-0.7946 -3.8629 2.9200
-4.4880 -0.8319 1.8013
Li Rh Sb
4 1 1
direct
0.3772 0.3772 0.8684
0.8684 0.3772 0.3772
0.3772 0.3772 0.3772
0.3772 0.8684 0.3772
0.7500 0.7500 0.7500
0.0000 0.0000 0.0000
```

If we sort the structures by their calculated energies, the order from most to least stable is run one, run two.